LiIn3Br | PBE | optimized geometry

The uncorrected formation energy comes out at 0.224 eV/atom. The symmetry is Pm-3m (221). Its energy above the lowest structure with this stoichiometry is 306.4 meV/atom. The value obtained for the density of states at the Fermi level is 0.512 states/eV/atom.

a = 5.9435 Å, b = 5.9435 Å, c = 5.9435 Å
α = 90.00°, β = 90.00°, γ = 90.00°
Sites, in units of the cell vectors:
Li 0.0000 0.0000 0.0000
In 0.0000 0.5000 0.5000
In 0.5000 0.0000 0.5000
In 0.5000 0.5000 0.0000
Br 0.5000 0.5000 0.5000